(1)
Here is a geometry-optimized YGePdAu2 structure from Alexandria. Energies are from PBE.

It has space group P4/mmm (No. 123), with a = 5.3093 Å, b = 5.3093 Å, c = 5.5247 Å, α = 90.00°, β = 90.00° and γ = 90.00°. Symmetry generates all atoms from Y at (0.0000, 0.0000, 0.0000), Ge at (0.0000, 0.0000, 0.5000), Pd at (0.5000, 0.5000, 0.5000) and Au at (0.0000, 0.5000, 0.0000).

The value obtained for the density of states at the Fermi level is 3.36 states/eV/cell. The electronic total energy comes out at -3.695 eV per atom.

---

(2)
Here is a geometry-optimized Sr3U3As8Au structure from Alexandria. Energies are from PBE.

It has space group C2/m (No. 12), with a = 14.6929 Å, b = 8.0175 Å, c = 8.7444 Å, α = 90.00°, β = 124.78° and γ = 90.00°. Symmetry generates all atoms from Sr at (0.0000, 0.0000, 0.0000), Sr at (0.2500, 0.2500, 0.0000), U at (0.0000, 0.5000, 0.5000), U at (0.2500, 0.2500, 0.5000), As at (0.0138, 0.2343, 0.3011), As at (0.2033, 0.5000, 0.2465), As at (0.2370, 0.5000, 0.7188) and Au at (0.0000, 0.0000, 0.5000).

The value obtained for the density of states at the Fermi level is 31.72 states/eV/cell. The electronic total energy comes out at -5.928 eV per atom.

---

(3)
Here is a geometry-optimized YBeMo structure from Alexandria. Energies are from PBE.

It has space group I4mm (No. 107), with a = 3.3025 Å, b = 3.3025 Å, c = 9.8688 Å, α = 90.00°, β = 90.00° and γ = 90.00°. Symmetry generates all atoms from Y at (0.0000, 0.0000, 0.0000), Be at (0.0000, 0.0000, 0.7183) and Mo at (0.0000, 0.0000, 0.2930).

The value obtained for the density of states at the Fermi level is 5.58 states/eV/cell. The value obtained for the energy above the most stable polymorph in this dataset is 0.000 eV/atom. The electronic total energy comes out at -6.758 eV per atom.

---

(4)
Here is a geometry-optimized Hf2FeAg structure from Alexandria. Energies are from PBE.

It has space group I-42d (No. 122), with a = 4.1269 Å, b = 4.1269 Å, c = 18.6956 Å, α = 90.00°, β = 90.00° and γ = 90.00°. Symmetry generates all atoms from Hf at (0.2392, 0.2500, 0.1250), Fe at (0.0000, 0.0000, 0.0000) and Ag at (0.0000, 0.0000, 0.5000).

The value obtained for the density of states at the Fermi level is 14.52 states/eV/cell. The value obtained for the energy above the most stable polymorph in this dataset is 0.792 eV/atom. The electronic total energy comes out at -7.152 eV per atom.

---

(5)
Here is a geometry-optimized LaScBiS2 structure from Alexandria. Energies are from PBE.

It has space group P4/mmm (No. 123), with a = 4.8607 Å, b = 4.8607 Å, c = 6.4306 Å, α = 90.00°, β = 90.00° and γ = 90.00°. Symmetry generates all atoms from La at (0.0000, 0.0000, 0.0000), Sc at (0.0000, 0.0000, 0.5000), Bi at (0.5000, 0.5000, 0.0000) and S at (0.0000, 0.5000, 0.5000).

The value obtained for the density of states at the Fermi level is 5.50 states/eV/cell. The value obtained for the uncorrected formation energy is -514 meV per atom. The electronic total energy comes out at -5.193 eV per atom.

---

(6)
Here is a geometry-optimized KSr2Ca structure from Alexandria. Energies are from PBE.

It has space group R-3m (No. 166, hexagonal axes), with a = 4.2173 Å, b = 4.2173 Å, c = 42.2827 Å, α = 90.00°, β = 90.00° and γ = 120.00°. Symmetry generates all atoms from K at (0.0000, 0.0000, 0.0000), Sr at (0.0000, 0.0000, 0.2431) and Ca at (0.0000, 0.0000, 0.5000).

The value obtained for the density of states at the Fermi level is 16.09 states/eV/cell. The value obtained for the energy above the most stable polymorph in this dataset is 0.002 eV/atom. The electronic total energy comes out at -1.548 eV per atom.

---

(7)
Here is a geometry-optimized Ce2SmCo2Ge2 structure from Alexandria. Energies are from PBE.

It has space group R-3m (No. 166, hexagonal axes), with a = 4.2600 Å, b = 4.2600 Å, c = 26.0170 Å, α = 90.00°, β = 90.00° and γ = 120.00°. Symmetry generates all atoms from Ce at (0.0000, 0.0000, 0.1384), Sm at (0.0000, 0.0000, 0.0000), Co at (0.0000, 0.0000, 0.4250) and Ge at (0.0000, 0.0000, 0.2624).

The value obtained for the density of states at the Fermi level is 14.96 states/eV/cell. The electronic total energy comes out at -6.266 eV per atom.

---

(8)
Here is a geometry-optimized CeDy4Ho10 structure from Alexandria. Energies are from PBE.

It has space group I4/m (No. 87), with a = 12.0603 Å, b = 12.0603 Å, c = 7.6262 Å, α = 90.00°, β = 90.00° and γ = 90.00°. Symmetry generates all atoms from Ce at (0.0000, 0.0000, 0.0000), Dy at (0.1010, 0.2988, 0.5000), Ho at (0.0000, 0.5000, 0.2500) and Ho at (0.0983, 0.8013, 0.2475).

The value obtained for the density of states at the Fermi level is 41.86 states/eV/cell. The electronic total energy comes out at -3.913 eV per atom.

---

(9)
Here is a geometry-optimized Ag4Pd7Au structure from Alexandria. Energies are from PBE.

It has space group P-1 (No. 2), with a = 4.9353 Å, b = 5.6789 Å, c = 7.2025 Å, α = 90.16°, β = 102.99° and γ = 90.16°. Symmetry generates all atoms from Ag at (0.2168, 0.2489, 0.1656), Ag at (0.2777, 0.0010, 0.8307), Pd at (0.0019, 0.7498, 0.4968), Pd at (0.2217, 0.7446, 0.1681), Pd at (0.2819, 0.5000, 0.8334), Pd at (0.5000, 0.0000, 0.5000) and Au at (0.5000, 0.5000, 0.5000).

The value obtained for the density of states at the Fermi level is 12.41 states/eV/cell. The electronic total energy comes out at -4.281 eV per atom.

---

(10)
Here is a geometry-optimized RbTlOs2Rh structure from Alexandria. Energies are from PBE.

It has space group P4/mmm (No. 123), with a = 4.9903 Å, b = 4.9903 Å, c = 4.9007 Å, α = 90.00°, β = 90.00° and γ = 90.00°. Symmetry generates all atoms from Rb at (0.0000, 0.0000, 0.0000), Tl at (0.5000, 0.5000, 0.5000), Os at (0.0000, 0.5000, 0.0000) and Rh at (0.0000, 0.0000, 0.5000).

The value obtained for the density of states at the Fermi level is 6.33 states/eV/cell. The electronic total energy comes out at -3.352 eV per atom.

---

(11)
Here is a geometry-optimized La3Ag5Cl12 structure from Alexandria. Energies are from PBE.

It has space group Ia-3d (No. 230), with a = 16.3833 Å, b = 16.3833 Å, c = 16.3833 Å, α = 90.00°, β = 90.00° and γ = 90.00°. Symmetry generates all atoms from La at (0.0000, 0.2500, 0.1250), Ag at (0.0000, 0.0000, 0.0000), Ag at (0.0000, 0.2500, 0.3750) and Cl at (0.0218, 0.0700, 0.6537).

The value obtained for the density of states at the Fermi level is 103.56 states/eV/cell. The value obtained for the uncorrected formation energy is -1266 meV per atom. The electronic total energy comes out at -3.825 eV per atom.

---

(12)
Here is a geometry-optimized SiSeN2Cl structure from Alexandria. Energies are from PBE.

It has space group P4/mmm (No. 123), with a = 3.5151 Å, b = 3.5151 Å, c = 6.2707 Å, α = 90.00°, β = 90.00° and γ = 90.00°. Symmetry generates all atoms from Si at (0.0000, 0.0000, 0.0000), Se at (0.0000, 0.0000, 0.5000), N at (0.0000, 0.5000, 0.0000) and Cl at (0.5000, 0.5000, 0.5000).

The value obtained for the density of states at the Fermi level is 2.36 states/eV/cell. The value obtained for the energy above the most stable polymorph in this dataset is 0.000 eV/atom. The value obtained for the uncorrected formation energy is 665 meV per atom. The electronic total energy comes out at -4.816 eV per atom.

---

(13)
Here is a geometry-optimized ScHBr2 structure from Alexandria. Energies are from PBE.

It has space group R-3m (No. 166, hexagonal axes), with a = 3.7021 Å, b = 3.7021 Å, c = 22.8389 Å, α = 90.00°, β = 90.00° and γ = 120.00°. Symmetry generates all atoms from Sc at (0.0000, 0.0000, 0.0000), H at (0.0000, 0.0000, 0.5000) and Br at (0.0000, 0.0000, 0.4084).

The value obtained for the density of states at the Fermi level is 2.94 states/eV/cell. The electronic total energy comes out at -3.822 eV per atom.

---

(14)
Here is a geometry-optimized TlGa3Au6 structure from Alexandria. Energies are from PBE.

It has space group P2_1/m (No. 11), with a = 9.1905 Å, b = 3.6999 Å, c = 11.9226 Å, α = 90.00°, β = 97.85° and γ = 90.00°. Symmetry generates all atoms from Tl at (0.0208, 0.2500, 0.2292), Ga at (0.1131, 0.2500, 0.5748), Ga at (0.2816, 0.7500, 0.9242), Ga at (0.4327, 0.2500, 0.3157), Au at (0.1185, 0.2500, 0.0000), Au at (0.1699, 0.7500, 0.4174), Au at (0.2794, 0.7500, 0.1979), Au at (0.2839, 0.7500, 0.7052), Au at (0.3939, 0.2500, 0.5332) and Au at (0.4366, 0.2500, 0.0740).

The value obtained for the density of states at the Fermi level is 4.09 states/eV/cell. The electronic total energy comes out at -3.212 eV per atom.